Record 1
! Sm6C3BrCl2 (PBE-GGA, optimized geometry); values from VASP
! - VASP energy (eV per cell) = -73.41
! - formation energy without anion corrections (eV per atom) = -1.005
&SYSTEM
  ibrav = 0, nat = 12, ntyp = 4
/
ATOMIC_SPECIES
Sm 150.36 Sm.upf
C 12.01 C.upf
Br 79.90 Br.upf
Cl 35.45 Cl.upf
CELL_PARAMETERS angstrom
8.935 -1.878 0.000
8.935 1.878 0.000
-3.044 0.000 7.748
ATOMIC_POSITIONS crystal
Sm 0.014 0.014 0.213
Sm 0.319 0.319 0.450
Sm 0.347 0.347 0.883
Sm 0.653 0.653 0.117
Sm 0.681 0.681 0.550
Sm 0.986 0.986 0.787
C 0.167 0.167 0.332
C 0.500 0.500 0.000
C 0.833 0.833 0.668
Br 0.500 0.500 0.500
Cl 0.168 0.168 0.835
Cl 0.832 0.832 0.165

Record 2
! AcMg2Cd10 (PBE-GGA, optimized geometry); values from VASP
! - VASP energy (eV per cell) = -18.68
! - formation energy (eV/atom) = -0.171
&SYSTEM
  ibrav = 0, nat = 13, ntyp = 3
/
ATOMIC_SPECIES
Ac 227.00 Ac.upf
Mg 24.30 Mg.upf
Cd 112.41 Cd.upf
CELL_PARAMETERS angstrom
0.000 7.069 7.115
3.045 0.000 7.115
3.045 7.069 0.000
ATOMIC_POSITIONS crystal
Ac 0.000 0.000 0.000
Mg 0.000 0.500 0.000
Mg 0.500 0.000 0.500
Cd 0.000 0.000 0.500
Cd 0.004 0.352 0.648
Cd 0.282 0.498 0.502
Cd 0.352 0.004 0.996
Cd 0.498 0.282 0.718
Cd 0.500 0.500 0.000
Cd 0.502 0.718 0.282
Cd 0.648 0.996 0.004
Cd 0.718 0.502 0.498
Cd 0.996 0.648 0.352

Record 3
! Zr2AlNi3 (PBE-GGA, optimized geometry); values from VASP
! - VASP energy (eV per cell) = -37.80
! - formation energy (eV/atom) = 0.064
! - E above lowest polymorph (kJ/mol of atoms) = 56.5
&SYSTEM
  ibrav = 0, nat = 6, ntyp = 3
/
ATOMIC_SPECIES
Zr 91.22 Zr.upf
Al 26.98 Al.upf
Ni 58.69 Ni.upf
CELL_PARAMETERS angstrom
5.195 0.000 0.000
-2.598 4.499 0.000
0.000 0.000 4.425
ATOMIC_POSITIONS crystal
Zr 0.333 0.667 0.000
Zr 0.667 0.333 0.000
Al 0.000 0.000 0.000
Ni 0.000 0.500 0.500
Ni 0.500 0.000 0.500
Ni 0.500 0.500 0.500

Record 4
! KBe2P (PBE-GGA, optimized geometry); values from VASP
! - VASP energy (eV per cell) = -12.00
! - formation energy (eV/atom) = 0.489
&SYSTEM
  ibrav = 0, nat = 4, ntyp = 3
/
ATOMIC_SPECIES
K 39.10 K.upf
Be 9.01 Be.upf
P 30.97 P.upf
CELL_PARAMETERS angstrom
-1.749 3.172 4.165
1.749 -3.172 4.165
1.749 3.172 -4.165
ATOMIC_POSITIONS crystal
K 0.000 0.000 0.000
Be 0.363 0.863 0.500
Be 0.637 0.137 0.500
P 0.500 0.500 0.000

Record 5
! FeMo2Ir (PBE-GGA, optimized geometry); values from VASP
! - VASP energy (eV per cell) = -38.87
! - formation energy (eV/atom) = 0.029
! - E above lowest polymorph (kJ/mol of atoms) = 9.9
&SYSTEM
  ibrav = 0, nat = 4, ntyp = 3
/
ATOMIC_SPECIES
Fe 55.84 Fe.upf
Mo 95.94 Mo.upf
Ir 192.22 Ir.upf
CELL_PARAMETERS angstrom
2.697 0.000 0.000
0.000 2.697 0.000
0.000 0.000 8.006
ATOMIC_POSITIONS crystal
Fe 0.000 0.000 0.000
Mo 0.000 0.000 0.474
Mo 0.500 0.500 0.757
Ir 0.500 0.500 0.226

Record 6
! Ca2AlCrMo (PBE-GGA, optimized geometry); values from VASP
! - VASP energy (eV per cell) = -21.91
! - formation energy (eV/atom) = 1.259
&SYSTEM
  ibrav = 0, nat = 5, ntyp = 4
/
ATOMIC_SPECIES
Ca 40.08 Ca.upf
Al 26.98 Al.upf
Cr 52.00 Cr.upf
Mo 95.94 Mo.upf
CELL_PARAMETERS angstrom
5.745 0.000 0.000
0.000 5.745 0.000
0.000 0.000 4.827
ATOMIC_POSITIONS crystal
Ca 0.000 0.500 0.000
Ca 0.500 0.000 0.000
Al 0.000 0.000 0.000
Cr 0.000 0.000 0.500
Mo 0.500 0.500 0.500

Record 7
! KLiLa2 (PBE-GGA, optimized geometry); values from VASP
! - VASP energy (eV per cell) = -11.32
! - formation energy (eV/atom) = 0.388
! - E above lowest polymorph (kJ/mol of atoms) = 21.6
&SYSTEM
  ibrav = 0, nat = 4, ntyp = 3
/
ATOMIC_SPECIES
K 39.10 K.upf
Li 6.94 Li.upf
La 138.91 La.upf
CELL_PARAMETERS angstrom
4.917 0.000 0.000
0.000 4.917 0.000
0.000 0.000 6.422
ATOMIC_POSITIONS crystal
K 0.000 0.000 0.000
Li 0.500 0.500 0.000
La 0.000 0.500 0.500
La 0.500 0.000 0.500

Record 8
! TaV3S6 (PBE-GGA, optimized geometry); values from VASP
! - VASP energy (eV per cell) = -143.38
! - formation energy without anion corrections (eV per atom) = -0.772
&SYSTEM
  ibrav = 0, nat = 20, ntyp = 3
/
ATOMIC_SPECIES
Ta 180.95 Ta.upf
V 50.94 V.upf
S 32.06 S.upf
CELL_PARAMETERS angstrom
9.951 0.000 0.000
0.000 3.344 0.000
-3.408 0.000 9.510
ATOMIC_POSITIONS crystal
Ta 0.061 0.250 0.198
Ta 0.939 0.750 0.802
V 0.121 0.250 0.561
V 0.330 0.750 0.995
V 0.460 0.250 0.383
V 0.540 0.750 0.617
V 0.670 0.250 0.005
V 0.879 0.750 0.439
S 0.086 0.750 0.391
S 0.112 0.250 0.967
S 0.176 0.750 0.748
S 0.273 0.750 0.220
S 0.371 0.250 0.568
S 0.487 0.250 0.126
S 0.513 0.750 0.874
S 0.629 0.750 0.432
S 0.727 0.250 0.780
S 0.824 0.250 0.252
S 0.888 0.750 0.033
S 0.914 0.250 0.609

Record 9
! Rb2PaHgCl6 (PBE-GGA, optimized geometry); values from VASP
! - VASP energy (eV per cell) = -40.53
! - formation energy without anion corrections (eV per atom) = -1.772
&SYSTEM
  ibrav = 0, nat = 10, ntyp = 4
/
ATOMIC_SPECIES
Rb 85.47 Rb.upf
Pa 231.04 Pa.upf
Hg 200.59 Hg.upf
Cl 35.45 Cl.upf
CELL_PARAMETERS angstrom
4.087 2.359 7.488
-4.087 2.359 7.488
0.000 -4.719 7.488
ATOMIC_POSITIONS crystal
Rb 0.000 0.000 0.000
Rb 0.473 0.473 0.473
Pa 0.806 0.806 0.806
Hg 0.295 0.295 0.295
Cl 0.005 0.461 0.756
Cl 0.152 0.845 0.637
Cl 0.461 0.756 0.005
Cl 0.637 0.152 0.845
Cl 0.756 0.005 0.461
Cl 0.845 0.637 0.152

Record 10
! SrLa2Cl (PBE-GGA, optimized geometry); values from VASP
! - VASP energy (eV per cell) = -15.60
! - E above lowest polymorph (kJ/mol of atoms) = 11.9
! - formation energy without anion corrections (eV per atom) = -0.555
&SYSTEM
  ibrav = 0, nat = 4, ntyp = 3
/
ATOMIC_SPECIES
Sr 87.62 Sr.upf
La 138.91 La.upf
Cl 35.45 Cl.upf
CELL_PARAMETERS angstrom
1.959 -3.247 0.000
1.959 3.247 0.000
0.000 0.000 11.449
ATOMIC_POSITIONS crystal
Sr 0.000 0.000 0.000
La 0.500 0.500 0.295
La 0.500 0.500 0.705
Cl 0.000 0.000 0.500

Record 11
! TbBOs2C (PBE-GGA, optimized geometry); values from VASP
! - VASP energy (eV per cell) = -88.68
! - formation energy (eV/atom) = -0.270
&SYSTEM
  ibrav = 0, nat = 10, ntyp = 4
/
ATOMIC_SPECIES
Tb 158.93 Tb.upf
B 10.81 B.upf
Os 190.23 Os.upf
C 12.01 C.upf
CELL_PARAMETERS angstrom
1.825 -5.395 0.000
1.825 5.395 0.000
0.000 0.000 6.993
ATOMIC_POSITIONS crystal
Tb 0.048 0.952 0.750
Tb 0.952 0.048 0.250
B 0.227 0.773 0.250
B 0.773 0.227 0.750
Os 0.328 0.672 0.564
Os 0.328 0.672 0.936
Os 0.672 0.328 0.064
Os 0.672 0.328 0.436
C 0.500 0.500 0.000
C 0.500 0.500 0.500

Record 12
! Be2VAg (PBE-GGA, optimized geometry); values from VASP
! - VASP energy (eV per cell) = -33.78
! - formation energy (eV/atom) = 0.633
! - E above lowest polymorph (kJ/mol of atoms) = 40.0
&SYSTEM
  ibrav = 0, nat = 8, ntyp = 3
/
ATOMIC_SPECIES
Be 9.01 Be.upf
V 50.94 V.upf
Ag 107.87 Ag.upf
CELL_PARAMETERS angstrom
-3.137 3.137 2.629
3.137 -3.137 2.629
3.137 3.137 -2.629
ATOMIC_POSITIONS crystal
Be 0.121 0.125 0.496
Be 0.375 0.879 0.004
Be 0.629 0.625 0.504
Be 0.875 0.371 0.996
V 0.250 0.750 0.500
V 0.500 0.500 0.000
Ag 0.000 0.000 0.000
Ag 0.750 0.250 0.500

- Which of these has the highest VASP energy?
  KLiLa2